Record 1
HoAsHRu | PBE-GGA | relaxed

a = 4.1014 Å, b = 4.1014 Å, c = 7.1185 Å
α = 90.00°, β = 90.00°, γ = 90.00°
Last column: nearest neighbours and their distance in Å.
Element x y z (fractional)
Ho 0.2500 0.2500 0.1608  4 H 2.35
Ho 0.7500 0.7500 0.8392  4 H 2.35
As 0.2500 0.2500 0.6895  4 Ru 2.45
As 0.7500 0.7500 0.3105  4 Ru 2.45
H 0.2500 0.7500 0.0000  4 Ho 2.35
H 0.7500 0.2500 0.0000  4 Ho 2.35
Ru 0.2500 0.7500 0.5000  4 As 2.45
Ru 0.7500 0.2500 0.5000  4 As 2.45

Calculated values
VASP energy, eV per atom: -6.24
SG: P4/nmm (129)
Crystal system: tetragonal

***

Record 2
Mg4ZrPb | PBE-GGA | relaxed

a = 5.8582 Å, b = 5.8582 Å, c = 5.8582 Å
α = 60.00°, β = 60.00°, γ = 60.00°
Last column: nearest neighbours and their distance in Å.
Element x y z (fractional)
Mg 0.3759 0.3759 0.3759  6 Mg 2.91-2.95
Mg 0.3759 0.3759 0.8723  6 Mg 2.91-2.95
Mg 0.3759 0.8723 0.3759  6 Mg 2.91-2.95
Mg 0.8723 0.3759 0.3759  6 Mg 2.91-2.95
Zr 0.7500 0.7500 0.7500  12 Mg 3.43, 4 Pb 3.59
Pb 0.0000 0.0000 0.0000  12 Mg 3.44, 4 Zr 3.59

Calculated values
DFT formation energy, eV/atom: 0.17
SG: F-43m (216)
Crystal system: cubic